Material: Ca2Sb
Method: DFT, GGA-PBE
State: optimized geometry

The calculation puts the total energy at -3.27 eV per atom. The value obtained for the formation energy without anion corrections is -0.56 eV per atom. The calculation puts the total magnetic moment at 0.0 μB per cell. The value obtained for the volume is 35.93 A^3/atom.

Structure (extended XYZ):
```
6
Lattice="-1.8207 2.0559 14.3967 1.8207 -2.0559 14.3967 1.8207 2.0559 -14.3967" Properties=species:S:1:pos:R:3 pbc="T T T"
Ca 1.8207 1.0280 -5.3739
Ca 0.0000 1.0280 16.1747
Ca 0.0000 1.0280 19.7707
Sb 0.0000 1.0280 3.5848
Ca 1.8207 1.0280 -1.7780
Sb 1.8207 1.0280 10.8120
```

Material: CaSb3
Method: DFT, GGA-PBE
State: optimized geometry

The calculation puts the total energy at -3.99 eV per atom. The value obtained for the formation energy without anion corrections is -0.40 eV per atom. The calculation puts the total magnetic moment at 0.0 μB per cell. The value obtained for the volume is 29.08 A^3/atom.

Structure (extended XYZ):
```
8
Lattice="4.3588 0.0000 0.0000 0.0000 4.5328 -0.9349 0.0000 0.0633 11.7626" Properties=species:S:1:pos:R:3 pbc="T T T"
Sb 1.0897 1.4667 7.1110
Sb 3.2691 3.1294 3.7167
Sb 3.2691 3.7352 6.6535
Ca 1.0897 2.6105 1.2007
Sb 1.0897 0.8610 4.1741
Sb 1.0897 4.3713 9.7376
Sb 3.2691 0.2248 1.0901
Ca 3.2691 1.9857 9.6270
```

Material: Ca2Sb
Method: DFT, GGA-PBE
State: optimized geometry

The calculation puts the total energy at -2.81 eV per atom. The value obtained for the formation energy without anion corrections is -0.10 eV per atom. The calculation puts the total magnetic moment at 0.0 μB per cell. The value obtained for the volume is 31.48 A^3/atom.

Structure (extended XYZ):
```
6
Lattice="0.0000 4.5540 4.5540 4.5540 0.0000 4.5540 4.5540 4.5540 0.0000" Properties=species:S:1:pos:R:3 pbc="T T T"
Ca 1.1385 3.4155 3.4155
Ca 1.1385 1.1385 1.1385
Ca 3.4155 3.4155 1.1385
Ca 3.4155 1.1385 3.4155
Sb 6.8310 6.8310 6.8310
Sb 4.5540 4.5540 4.5540
```

Material: Ca2Sb
Method: DFT, GGA-PBE
State: optimized geometry

The calculation puts the total energy at -3.51 eV per atom. The value obtained for the formation energy without anion corrections is -0.80 eV per atom. The calculation puts the total magnetic moment at 1.8 μB per cell. The value obtained for the volume is 32.45 A^3/atom.

Structure (extended XYZ):
```
6
Lattice="-5.7829 0.0543 -3.0933 5.0926 -4.0379 0.8800 -3.0241 -2.5918 5.6080" Properties=species:S:1:pos:R:3 pbc="T T T"
Ca -5.8548 -2.7160 1.9151
Sb -5.2639 -1.0734 -1.2255
Ca -0.3452 -1.9918 -1.1067
Sb 1.5495 -5.5020 4.6202
Ca 2.1403 -3.8595 1.4796
Ca -1.8572 -3.2877 1.6973
```

Material: Ca2Sb
Method: DFT, GGA-PBE
State: optimized geometry

The calculation puts the total energy at -3.59 eV per atom. The value obtained for the formation energy without anion corrections is -0.89 eV per atom. The calculation puts the total magnetic moment at 0.0 μB per cell. The value obtained for the volume is 31.89 A^3/atom.

Structure (extended XYZ):
```
6
Lattice="9.0335 0.0100 0.0000 6.4985 6.2749 0.0000 -7.7660 -3.1424 3.3792" Properties=species:S:1:pos:R:3 pbc="T T T"
Ca -0.6338 1.5662 1.6896
Ca 2.7197 1.1005 0.0000
Ca 12.8122 5.1843 0.0000
Ca 0.6338 -1.5662 1.6896
Sb 9.8747 3.9957 0.0000
Sb 5.6573 2.2891 0.0000
```

Material: CaSb3
Method: DFT, GGA-PBE
State: optimized geometry

The calculation puts the total energy at -3.63 eV per atom. The value obtained for the formation energy without anion corrections is -0.04 eV per atom. The calculation puts the total magnetic moment at 0.0 μB per cell. The value obtained for the volume is 28.37 A^3/atom.

Structure (extended XYZ):
```
4
Lattice="11.0743 0.0258 0.0152 10.5232 3.4502 0.0152 10.5232 1.6937 3.0059" Properties=species:S:1:pos:R:3 pbc="T T T"
Ca 0.0000 0.0000 0.0000
Sb 16.0604 2.5848 1.5181
Sb 8.1415 1.3103 0.7696
Sb 23.9792 3.8593 2.2667
```

Material: Ca2Sb
Method: DFT, GGA-PBE
State: optimized geometry

The calculation puts the total energy at -3.32 eV per atom. The value obtained for the formation energy without anion corrections is -0.61 eV per atom. The calculation puts the total magnetic moment at 0.7 μB per cell. The value obtained for the volume is 42.53 A^3/atom.

Structure (extended XYZ):
```
3
Lattice="-0.7830 -3.1742 -3.3170 1.2060 -1.3612 4.2876 -6.5532 -0.2326 1.7694" Properties=species:S:1:pos:R:3 pbc="T T T"
Ca -0.9584 -2.0188 2.1581
Ca -5.1718 -2.7492 0.5819
Sb 0.0000 0.0000 0.0000
```

Material: CaSb3
Method: DFT, GGA-PBE
State: optimized geometry

The calculation puts the total energy at -3.82 eV per atom. The value obtained for the formation energy without anion corrections is -0.23 eV per atom. The calculation puts the total magnetic moment at 0.0 μB per cell. The value obtained for the volume is 33.21 A^3/atom.

Structure (extended XYZ):
```
4
Lattice="4.7934 0.0000 0.0000 -2.3967 4.1512 0.0000 0.0000 0.0000 6.6757" Properties=species:S:1:pos:R:3 pbc="T T T"
Sb 2.3967 1.3837 1.6791
Sb 2.3967 1.3837 4.9966
Sb 0.0000 0.0000 3.3378
Ca 0.0000 0.0000 0.0000
```